# SrEuZnCu (PBE, relaxed)
# DFT formation energy, eV per atom: -0.096
data_SrEuZnCu
_chemical_formula_sum 'Sr4 Eu4 Zn4 Cu4'
_cell_length_a 7.548
_cell_length_b 7.548
_cell_length_c 7.548
_cell_angle_alpha 90.00
_cell_angle_beta 90.00
_cell_angle_gamma 90.00
_space_group_name_H-M_alt 'F -4 3 m'
_space_group_IT_number 216
_space_group_name_Hall 'F -4 2 3'
loop_
_atom_site_label
_atom_site_type_symbol
_atom_site_fract_x
_atom_site_fract_y
_atom_site_fract_z
Sr1 Sr 0.000 0.000 0.000
Eu1 Eu 0.000 0.000 0.500
Zn1 Zn 0.250 0.250 0.750
Cu1 Cu 0.250 0.250 0.250